1.
# DyMnTlTe3, optimized geometry, DFT PBE
data_DyMnTlTe3
_chemical_formula_sum 'Dy2 Mn2 Tl2 Te6'
_cell_length_a 9.5667
_cell_length_b 4.4409
_cell_length_c 10.2670
_cell_angle_alpha 90.00
_cell_angle_beta 107.09
_cell_angle_gamma 90.00
_symmetry_space_group_name_H-M 'P 1 21/m 1'
_symmetry_Int_Tables_number 11
loop_
_symmetry_equiv_pos_as_xyz
'x,y,z'
'-x,-y,-z'
'-x,y+1/2,-z'
'x,-y+1/2,z'
loop_
_atom_site_label
_atom_site_type_symbol
_atom_site_fract_x
_atom_site_fract_y
_atom_site_fract_z
Dy1 Dy 0.1704 0.2500 0.1418
Mn1 Mn 0.4160 0.7500 0.3953
Tl1 Tl 0.2947 0.7500 0.7753
Te1 Te 0.0430 0.2500 0.8313
Te2 Te 0.2836 0.2500 0.4681
Te3 Te 0.3945 0.7500 0.1292
# uncorrected formation energy = -0.723 eV per atom
# total magnetic moment = 0.83 μB/atom
# uncorrected energy = -4.984 eV per atom

***

2.
# Ca4NdTe5, optimized geometry, DFT PBE
data_Ca4NdTe5
_chemical_formula_sum 'Ca8 Nd2 Te10'
_cell_length_a 4.5065
_cell_length_b 4.5065
_cell_length_c 31.9956
_cell_angle_alpha 90.00
_cell_angle_beta 90.00
_cell_angle_gamma 90.00
_symmetry_space_group_name_H-M 'I 4/m m m'
_symmetry_Int_Tables_number 139
_symmetry_space_group_name_Hall '-I 4 2'
loop_
_atom_site_label
_atom_site_type_symbol
_atom_site_fract_x
_atom_site_fract_y
_atom_site_fract_z
Ca1 Ca 0.0000 0.0000 0.0999
Ca2 Ca 0.0000 0.0000 0.2996
Nd1 Nd 0.0000 0.0000 0.5000
Te1 Te 0.0000 0.0000 0.0000
Te2 Te 0.0000 0.0000 0.1997
Te3 Te 0.0000 0.0000 0.3997
# uncorrected formation energy = -1.596 eV per atom
# total magnetic moment = 0.00 μB/atom
# uncorrected energy = -4.444 eV per atom

***

3.
# Na4ErZr3Se8, optimized geometry, DFT PBE
data_Na4ErZr3Se8
_chemical_formula_sum 'Na12 Er3 Zr9 Se24'
_cell_length_a 7.8145
_cell_length_b 7.8145
_cell_length_c 21.4375
_cell_angle_alpha 90.00
_cell_angle_beta 90.00
_cell_angle_gamma 120.00
_symmetry_space_group_name_H-M 'R -3 m'
_symmetry_Int_Tables_number 166
_symmetry_space_group_name_Hall '-R 3 2"'
loop_
_atom_site_label
_atom_site_type_symbol
_atom_site_fract_x
_atom_site_fract_y
_atom_site_fract_z
Na1 Na 0.0000 0.0000 0.0000
Na2 Na 0.0000 0.5000 0.0000
Er1 Er 0.0000 0.0000 0.5000
Zr1 Zr 0.0000 0.5000 0.5000
Se1 Se 0.0000 0.0000 0.2420
Se2 Se 0.0068 0.5034 0.7573
# uncorrected formation energy = -1.388 eV per atom
# total magnetic moment = 0.00 μB/atom
# uncorrected energy = -5.348 eV per atom

***

4.
# BaNpMnN3, optimized geometry, DFT PBE
data_BaNpMnN3
_chemical_formula_sum 'Ba2 Np2 Mn2 N6'
_cell_length_a 7.7223
_cell_length_b 3.5123
_cell_length_c 7.8121
_cell_angle_alpha 90.00
_cell_angle_beta 104.63
_cell_angle_gamma 90.00
_symmetry_space_group_name_H-M 'P 1 21/m 1'
_symmetry_Int_Tables_number 11
loop_
_symmetry_equiv_pos_as_xyz
'x,y,z'
'-x,-y,-z'
'-x,y+1/2,-z'
'x,-y+1/2,z'
loop_
_atom_site_label
_atom_site_type_symbol
_atom_site_fract_x
_atom_site_fract_y
_atom_site_fract_z
Ba1 Ba 0.1944 0.2500 0.2183
Np1 Np 0.3426 0.7500 0.8382
Mn1 Mn 0.0737 0.2500 0.5982
N1 N 0.1521 0.2500 0.8459
N2 N 0.1576 0.7500 0.5438
N3 N 0.4602 0.7500 0.1316
# uncorrected formation energy = -0.762 eV per atom
# total magnetic moment = 0.60 μB/atom
# uncorrected energy = -8.930 eV per atom

***

5.
# PaCrB14, optimized geometry, DFT PBE
data_PaCrB14
_chemical_formula_sum 'Pa4 Cr4 B56'
_cell_length_a 5.8212
_cell_length_b 10.7468
_cell_length_c 8.2130
_cell_angle_alpha 90.00
_cell_angle_beta 90.00
_cell_angle_gamma 90.00
_symmetry_space_group_name_H-M 'I m m a'
_symmetry_Int_Tables_number 74
_symmetry_space_group_name_Hall '-I 2b 2'
loop_
_atom_site_label
_atom_site_type_symbol
_atom_site_fract_x
_atom_site_fract_y
_atom_site_fract_z
Pa1 Pa 0.0000 0.2500 0.1291
Cr1 Cr 0.2500 0.2500 0.7500
B1 B 0.0000 0.0841 0.6703
B2 B 0.0000 0.1292 0.8681
B3 B 0.0000 0.1680 0.4678
B4 B 0.1623 0.0629 0.3396
B5 B 0.2486 0.0788 0.5494
# total magnetic moment = 0.16 μB/atom
# DFT formation energy = -0.121 eV/atom
# uncorrected energy = -7.159 eV per atom

***

6.
# NiC2Br, optimized geometry, DFT PBE
data_NiC2Br
_chemical_formula_sum 'Ni4 C8 Br4'
_cell_length_a 4.9312
_cell_length_b 4.9312
_cell_length_c 9.6084
_cell_angle_alpha 90.00
_cell_angle_beta 90.00
_cell_angle_gamma 90.00
_symmetry_space_group_name_H-M 'I -4 2 d'
_symmetry_Int_Tables_number 122
_symmetry_space_group_name_Hall 'I -4 2bw'
loop_
_atom_site_label
_atom_site_type_symbol
_atom_site_fract_x
_atom_site_fract_y
_atom_site_fract_z
Ni1 Ni 0.0000 0.0000 0.0000
C1 C 0.1272 0.2500 0.1250
Br1 Br 0.0000 0.0000 0.5000
# uncorrected formation energy = 1.712 eV per atom
# polymorph energy (0 for the lowest one) = 0.0 meV per atom
# total magnetic moment = 0.00 μB/atom
# uncorrected energy = -4.763 eV per atom

***

7.
# AcZnHgGe, optimized geometry, DFT PBE
data_AcZnHgGe
_chemical_formula_sum 'Ac4 Zn4 Hg4 Ge4'
_cell_length_a 7.4001
_cell_length_b 7.4001
_cell_length_c 7.4001
_cell_angle_alpha 90.00
_cell_angle_beta 90.00
_cell_angle_gamma 90.00
_symmetry_space_group_name_H-M 'F -4 3 m'
_symmetry_Int_Tables_number 216
_symmetry_space_group_name_Hall 'F -4 2 3'
loop_
_atom_site_label
_atom_site_type_symbol
_atom_site_fract_x
_atom_site_fract_y
_atom_site_fract_z
Ac1 Ac 0.0000 0.0000 0.0000
Zn1 Zn 0.2500 0.2500 0.7500
Hg1 Hg 0.0000 0.0000 0.5000
Ge1 Ge 0.2500 0.2500 0.2500
# total magnetic moment = 0.00 μB/atom
# DFT formation energy = -0.231 eV/atom
# uncorrected energy = -2.806 eV per atom

***

8.
# TmNbTl2O6, optimized geometry, DFT PBE
data_TmNbTl2O6
_chemical_formula_sum 'Tm4 Nb4 Tl8 O24'
_cell_length_a 8.4316
_cell_length_b 8.4316
_cell_length_c 8.4316
_cell_angle_alpha 90.00
_cell_angle_beta 90.00
_cell_angle_gamma 90.00
_symmetry_space_group_name_H-M 'F m -3 m'
_symmetry_Int_Tables_number 225
_symmetry_space_group_name_Hall '-F 4 2 3'
loop_
_atom_site_label
_atom_site_type_symbol
_atom_site_fract_x
_atom_site_fract_y
_atom_site_fract_z
Tm1 Tm 0.0000 0.0000 0.0000
Nb1 Nb 0.0000 0.0000 0.5000
Tl1 Tl 0.2500 0.2500 0.2500
O1 O 0.0000 0.0000 0.2615
# uncorrected formation energy = -1.895 eV per atom
# total magnetic moment = 0.05 μB/atom
# uncorrected energy = -6.798 eV per atom

***

9.
# Ba2Ca2Cd15, optimized geometry, DFT PBE
data_Ba2Ca2Cd15
_chemical_formula_sum 'Ba6 Ca6 Cd45'
_cell_length_a 10.5539
_cell_length_b 10.5539
_cell_length_c 15.6723
_cell_angle_alpha 90.00
_cell_angle_beta 90.00
_cell_angle_gamma 120.00
_symmetry_space_group_name_H-M 'R -3 m'
_symmetry_Int_Tables_number 166
_symmetry_space_group_name_Hall '-R 3 2"'
loop_
_atom_site_label
_atom_site_type_symbol
_atom_site_fract_x
_atom_site_fract_y
_atom_site_fract_z
Ba1 Ba 0.0000 0.0000 0.1572
Ca1 Ca 0.0000 0.0000 0.3962
Cd1 Cd 0.0000 0.2926 0.5000
Cd2 Cd 0.0000 0.5000 0.0000
Cd3 Cd 0.0094 0.5047 0.6454
# total magnetic moment = 0.00 μB/atom
# DFT formation energy = -0.220 eV/atom
# uncorrected energy = -1.356 eV per atom

***

10.
# CdInRh2W, optimized geometry, DFT PBE
data_CdInRh2W
_chemical_formula_sum 'Cd1 In1 Rh2 W1'
_cell_length_a 4.7240
_cell_length_b 4.7240
_cell_length_c 5.3595
_cell_angle_alpha 90.00
_cell_angle_beta 90.00
_cell_angle_gamma 90.00
_symmetry_space_group_name_H-M 'P 4/m m m'
_symmetry_Int_Tables_number 123
_symmetry_space_group_name_Hall '-P 4 2'
loop_
_atom_site_label
_atom_site_type_symbol
_atom_site_fract_x
_atom_site_fract_y
_atom_site_fract_z
Cd1 Cd 0.0000 0.0000 0.0000
In1 In 0.5000 0.5000 0.0000
Rh1 Rh 0.0000 0.5000 0.5000
W1 W 0.0000 0.0000 0.5000
# total magnetic moment = 0.00 μB/atom
# DFT formation energy = 1.010 eV/atom
# uncorrected energy = -5.252 eV per atom

***

11.
# Tb2Ni12SnB3, optimized geometry, DFT PBE
data_Tb2Ni12SnB3
_chemical_formula_sum 'Tb6 Ni36 Sn3 B9'
_cell_length_a 6.9890
_cell_length_b 6.9890
_cell_length_c 17.1061
_cell_angle_alpha 90.00
_cell_angle_beta 90.00
_cell_angle_gamma 120.00
_symmetry_space_group_name_H-M 'R -3 m'
_symmetry_Int_Tables_number 166
_symmetry_space_group_name_Hall '-R 3 2"'
loop_
_atom_site_label
_atom_site_type_symbol
_atom_site_fract_x
_atom_site_fract_y
_atom_site_fract_z
Tb1 Tb 0.0000 0.0000 0.0933
Ni1 Ni 0.0704 0.5352 0.3075
Ni2 Ni 0.0761 0.5380 0.8901
Sn1 Sn 0.0000 0.0000 0.5000
B1 B 0.0000 0.5000 0.0000
# total magnetic moment = 0.00 μB/atom
# DFT formation energy = -0.100 eV/atom
# uncorrected energy = -5.804 eV per atom